# AcLaTb4Er2, optimized geometry, DFT PBE
data_AcLaTb4Er2
_chemical_formula_sum 'Ac2 La2 Tb8 Er4'
_cell_length_a 7.286
_cell_length_b 7.295
_cell_length_c 10.169
_cell_angle_alpha 89.96
_cell_angle_beta 89.99
_cell_angle_gamma 89.91
_symmetry_space_group_name_H-M 'P -1'
_symmetry_Int_Tables_number 2
loop_
_symmetry_equiv_pos_as_xyz
'x,y,z'
'-x,-y,-z'
loop_
_atom_site_label
_atom_site_fract_x
_atom_site_fract_y
_atom_site_fract_z
_atom_site_occupancy
Ac1 0.000 0.000 0.000 1
Ac2 0.000 0.500 0.500 1
La1 0.000 0.000 0.500 1
La2 0.500 0.000 0.500 1
Tb1 0.257 0.254 0.245 1
Tb2 0.257 0.254 0.754 1
Tb3 0.257 0.745 0.754 1
Tb4 0.257 0.746 0.246 1
Er1 0.000 0.500 0.000 1
Er2 0.500 0.000 0.000 1
Er3 0.500 0.500 0.000 1
Er4 0.500 0.500 0.500 1
# Crystal system: triclinic
# Raw total energy in eV per atom: -4.54